# 1
# BaCaSmBiO6 | Alexandria | PBE | optimized geometry
data_BaCaSmBiO6
_symmetry_space_group_name_H-M 'P -1'
_symmetry_Int_Tables_number 2
_cell_length_a 6.035
_cell_length_b 6.108
_cell_length_c 8.673
_cell_angle_alpha 90.02
_cell_angle_beta 90.12
_cell_angle_gamma 90.11
loop_
_symmetry_equiv_pos_as_xyz
'x,y,z'
'-x,-y,-z'
loop_
_atom_site_label
_atom_site_type_symbol
_atom_site_fract_x
_atom_site_fract_y
_atom_site_fract_z
_atom_site_occupancy
Ba1 Ba 0.008 0.033 0.250 1
Ca1 Ca 0.499 0.468 0.749 1
Sm1 Sm 0.000 0.500 0.500 1
Sm2 Sm 0.500 0.000 0.000 1
Bi1 Bi 0.000 0.500 0.000 1
Bi2 Bi 0.500 0.000 0.500 1
O1 O 0.106 0.498 0.761 1
O2 O 0.190 0.790 0.028 1
O3 O 0.208 0.809 0.478 1
O4 O 0.294 0.315 0.063 1
O5 O 0.319 0.296 0.438 1
O6 O 0.439 0.074 0.740 1
# E_form (uncorrected) ... -2.350 eV/atom
# Relative energy among the computed polymorphs ... 0 meV/atom
# DOS(E_F) ... 0.0 states/eV/f.u.
# DFT total energy ... -6.577 eV per atom


# 2
# Ga3Ir | Alexandria | PBE | optimized geometry
data_Ga3Ir
_symmetry_space_group_name_H-M 'P 42/m n m'
_symmetry_Int_Tables_number 136
_symmetry_space_group_name_Hall '-P 4n 2n'
_cell_length_a 6.576
_cell_length_b 6.576
_cell_length_c 6.705
_cell_angle_alpha 90.00
_cell_angle_beta 90.00
_cell_angle_gamma 90.00
loop_
_atom_site_label
_atom_site_type_symbol
_atom_site_fract_x
_atom_site_fract_y
_atom_site_fract_z
_atom_site_occupancy
Ga1 Ga 0.000 0.500 0.000 1
Ga2 Ga 0.141 0.141 0.245 1
Ir1 Ir 0.160 0.840 0.500 1
# Formation energy from the elements ... -0.351 eV/atom
# DOS(E_F) ... 0.8 states/eV/f.u.
# DFT total energy ... -4.836 eV per atom


# 3
# HoHgPb2 | Alexandria | PBE | optimized geometry
data_HoHgPb2
_symmetry_space_group_name_H-M 'P 4/m m m'
_symmetry_Int_Tables_number 123
_symmetry_space_group_name_Hall '-P 4 2'
_cell_length_a 4.858
_cell_length_b 4.858
_cell_length_c 4.555
_cell_angle_alpha 90.00
_cell_angle_beta 90.00
_cell_angle_gamma 90.00
loop_
_atom_site_label
_atom_site_type_symbol
_atom_site_fract_x
_atom_site_fract_y
_atom_site_fract_z
_atom_site_occupancy
Ho1 Ho 0.000 0.000 0.000 1
Hg1 Hg 0.500 0.500 0.000 1
Pb1 Pb 0.000 0.500 0.500 1
# Formation energy from the elements ... -0.292 eV/atom
# DOS(E_F) ... 1.9 states/eV/f.u.
# DFT total energy ... -3.366 eV per atom


# 4
# LaSc2Al | Alexandria | PBE | optimized geometry
data_LaSc2Al
_symmetry_space_group_name_H-M 'I -4 m 2'
_symmetry_Int_Tables_number 119
_symmetry_space_group_name_Hall 'I -4 -2'
_cell_length_a 4.617
_cell_length_b 4.617
_cell_length_c 9.217
_cell_angle_alpha 90.00
_cell_angle_beta 90.00
_cell_angle_gamma 90.00
loop_
_atom_site_label
_atom_site_type_symbol
_atom_site_fract_x
_atom_site_fract_y
_atom_site_fract_z
_atom_site_occupancy
La1 La 0.000 0.000 0.000 1
Sc1 Sc 0.000 0.000 0.500 1
Sc2 Sc 0.000 0.500 0.750 1
Al1 Al 0.000 0.500 0.250 1
# Formation energy from the elements ... -0.134 eV/atom
# DOS(E_F) ... 5.4 states/eV/f.u.
# DFT total energy ... -5.468 eV per atom


# 5
# TaPbBr2 | Alexandria | PBE | optimized geometry
data_TaPbBr2
_symmetry_space_group_name_H-M 'I m m 2'
_symmetry_Int_Tables_number 44
_cell_length_a 3.215
_cell_length_b 4.847
_cell_length_c 15.988
_cell_angle_alpha 90.00
_cell_angle_beta 90.00
_cell_angle_gamma 90.00
loop_
_symmetry_equiv_pos_as_xyz
'x,y,z'
'-x,-y,z'
'-x,y,z'
'x,-y,z'
'x+1/2,y+1/2,z+1/2'
'-x+1/2,-y+1/2,z+1/2'
'-x+1/2,y+1/2,z+1/2'
'x+1/2,-y+1/2,z+1/2'
loop_
_atom_site_label
_atom_site_type_symbol
_atom_site_fract_x
_atom_site_fract_y
_atom_site_fract_z
_atom_site_occupancy
Ta1 Ta 0.000 0.000 0.000 1
Pb1 Pb 0.000 0.500 0.332 1
Br1 Br 0.000 0.000 0.473 1
Br2 Br 0.000 0.500 0.630 1
# E_form (uncorrected) ... 0.138 eV/atom
# Relative energy among the computed polymorphs ... 319 meV/atom
# DOS(E_F) ... 3.4 states/eV/f.u.
# DFT total energy ... -4.589 eV per atom


# 6
# CaThNiAu | Alexandria | PBE | optimized geometry
data_CaThNiAu
_symmetry_space_group_name_H-M 'F -4 3 m'
_symmetry_Int_Tables_number 216
_symmetry_space_group_name_Hall 'F -4 2 3'
_cell_length_a 7.168
_cell_length_b 7.168
_cell_length_c 7.168
_cell_angle_alpha 90.00
_cell_angle_beta 90.00
_cell_angle_gamma 90.00
loop_
_atom_site_label
_atom_site_type_symbol
_atom_site_fract_x
_atom_site_fract_y
_atom_site_fract_z
_atom_site_occupancy
Ca1 Ca 0.000 0.000 0.000 1
Th1 Th 0.000 0.000 0.500 1
Ni1 Ni 0.250 0.250 0.250 1
Au1 Au 0.250 0.250 0.750 1
# Formation energy from the elements ... -0.400 eV/atom
# DOS(E_F) ... 2.7 states/eV/f.u.
# DFT total energy ... -5.020 eV per atom


# 7
# ErUC | Alexandria | PBE | optimized geometry
data_ErUC
_symmetry_space_group_name_H-M 'I m m m'
_symmetry_Int_Tables_number 71
_symmetry_space_group_name_Hall '-I 2 2'
_cell_length_a 3.148
_cell_length_b 6.116
_cell_length_c 11.824
_cell_angle_alpha 90.00
_cell_angle_beta 90.00
_cell_angle_gamma 90.00
loop_
_atom_site_label
_atom_site_type_symbol
_atom_site_fract_x
_atom_site_fract_y
_atom_site_fract_z
_atom_site_occupancy
Er1 Er 0.000 0.232 0.000 1
U1 U 0.000 0.000 0.263 1
C1 C 0.000 0.500 0.375 1
# Formation energy from the elements ... 0.195 eV/atom
# Relative energy among the computed polymorphs ... 230 meV/atom
# DOS(E_F) ... 5.0 states/eV/f.u.
# DFT total energy ... -8.163 eV per atom